{
  "formula": "YZr2In2",
  "functional": "GGA-PBE",
  "state": "relaxed",
  "cell": [[8.800, 0.000, 0.000], [0.000, 8.800, 0.000], [0.000, 0.000, 3.190]],
  "species": ["Y", "Y", "Zr", "Zr", "Zr", "Zr", "In", "In", "In", "In"],
  "fractional_positions": [[0.000, 0.000, 0.000], [0.500, 0.500, 0.000], [0.380, 0.880, 0.000], [0.880, 0.620, 0.000], [0.620, 0.120, 0.000], [0.120, 0.380, 0.000], [0.176, 0.676, 0.500], [0.676, 0.824, 0.500], [0.824, 0.324, 0.500], [0.324, 0.176, 0.500]],
  "e_form_ev_per_atom": -0.150,
  "energy_ev_per_atom": -5.9574,
  "e_above_lowest_polymorph_ev_per_atom": 0.076
}